[1]
# GGA-PBE Pm2Ga13, optimized geometry
data_Pm2Ga13
_chemical_formula_sum 'Pm2 Ga13'
_space_group_name_H-M_alt 'P 1'
_space_group_IT_number 1
_cell_length_a 8.4075
_cell_length_b 8.4075
_cell_length_c 8.4075
_cell_angle_alpha 51.33
_cell_angle_beta 51.33
_cell_angle_gamma 51.33
loop_
_space_group_symop_operation_xyz
'x,y,z'
loop_
_atom_site_label
_atom_site_type_symbol
_atom_site_fract_x
_atom_site_fract_y
_atom_site_fract_z
_atom_site_occupancy
Pm1 Pm 0.2331 0.2331 0.2331 1
Pm2 Pm 0.7669 0.7669 0.7669 1
Ga1 Ga 0.0000 0.0000 0.0000 1
Ga2 Ga 0.1487 0.4980 0.4980 1
Ga3 Ga 0.1554 0.7405 0.7405 1
Ga4 Ga 0.2595 0.2595 0.8446 1
Ga5 Ga 0.2595 0.8446 0.2595 1
Ga6 Ga 0.4980 0.1487 0.4980 1
Ga7 Ga 0.4980 0.4980 0.1487 1
Ga8 Ga 0.5020 0.5020 0.8513 1
Ga9 Ga 0.5020 0.8513 0.5020 1
Ga10 Ga 0.7405 0.1554 0.7405 1
Ga11 Ga 0.7405 0.7405 0.1554 1
Ga12 Ga 0.8446 0.2595 0.2595 1
Ga13 Ga 0.8513 0.5020 0.5020 1
# Calculated total energy in eV for the cell shown: -51.03
# Total moment in μB/f.u.: 0.00
# Formation energy from the elements in eV per atom: -0.145
# Space-group type: No. 166
# Fermi-level density of states in states/eV per atom: 0.405


[2]
# GGA-PBE Pm4Ga, optimized geometry
data_Pm4Ga
_chemical_formula_sum 'Pm8 Ga2'
_space_group_name_H-M_alt 'P 1'
_space_group_IT_number 1
_cell_length_a 8.2872
_cell_length_b 6.9632
_cell_length_c 9.7872
_cell_angle_alpha 56.31
_cell_angle_beta 44.36
_cell_angle_gamma 79.33
loop_
_space_group_symop_operation_xyz
'x,y,z'
loop_
_atom_site_label
_atom_site_type_symbol
_atom_site_fract_x
_atom_site_fract_y
_atom_site_fract_z
_atom_site_occupancy
Pm1 Pm 0.0421 0.5089 0.8450 1
Pm2 Pm 0.0418 0.9582 0.1858 1
Pm3 Pm 0.0642 0.4358 0.2082 1
Pm4 Pm 0.4050 0.6460 0.2079 1
Pm5 Pm 0.4358 0.0642 0.2918 1
Pm6 Pm 0.5089 0.0421 0.6040 1
Pm7 Pm 0.6460 0.4050 0.7411 1
Pm8 Pm 0.9582 0.0418 0.8142 1
Ga1 Ga 0.6029 0.6029 0.3971 1
Ga2 Ga 0.8529 0.8529 0.6471 1
# Calculated total energy in eV for the cell shown: -45.46
# Total moment in μB/f.u.: 0.00
# Formation energy from the elements in eV per atom: -0.141
# Space-group type: No. 43
# Fermi-level density of states in states/eV per atom: 1.252


[3]
# GGA-PBE PmGa2, optimized geometry
data_PmGa2
_chemical_formula_sum 'Pm2 Ga4'
_space_group_name_H-M_alt 'P 1'
_space_group_IT_number 1
_cell_length_a 5.9263
_cell_length_b 5.9263
_cell_length_c 5.9263
_cell_angle_alpha 137.23
_cell_angle_beta 105.79
_cell_angle_gamma 89.65
loop_
_space_group_symop_operation_xyz
'x,y,z'
loop_
_atom_site_label
_atom_site_type_symbol
_atom_site_fract_x
_atom_site_fract_y
_atom_site_fract_z
_atom_site_occupancy
Pm1 Pm 0.3109 0.0609 0.2500 1
Pm2 Pm 0.6891 0.9391 0.7500 1
Ga1 Ga 0.1067 0.6632 0.4435 1
Ga2 Ga 0.2803 0.3368 0.9435 1
Ga3 Ga 0.7197 0.6632 0.0565 1
Ga4 Ga 0.8933 0.3368 0.5565 1
# Calculated total energy in eV for the cell shown: -25.46
# Total moment in μB/f.u.: 0.00
# Formation energy from the elements in eV per atom: -0.642
# Space-group type: No. 74
# Fermi-level density of states in states/eV per atom: 0.592


[4]
# GGA-PBE PmGa3, optimized geometry
data_PmGa3
_chemical_formula_sum 'Pm2 Ga6'
_space_group_name_H-M_alt 'P 1'
_space_group_IT_number 1
_cell_length_a 6.4135
_cell_length_b 6.4135
_cell_length_c 4.5998
_cell_angle_alpha 90.00
_cell_angle_beta 90.00
_cell_angle_gamma 120.00
loop_
_space_group_symop_operation_xyz
'x,y,z'
loop_
_atom_site_label
_atom_site_type_symbol
_atom_site_fract_x
_atom_site_fract_y
_atom_site_fract_z
_atom_site_occupancy
Pm1 Pm 0.3333 0.6667 0.2500 1
Pm2 Pm 0.6667 0.3333 0.7500 1
Ga1 Ga 0.1438 0.2876 0.7500 1
Ga2 Ga 0.1438 0.8562 0.7500 1
Ga3 Ga 0.2876 0.1438 0.2500 1
Ga4 Ga 0.7124 0.8562 0.7500 1
Ga5 Ga 0.8562 0.1438 0.2500 1
Ga6 Ga 0.8562 0.7124 0.2500 1
# Calculated total energy in eV for the cell shown: -32.27
# Total moment in μB/f.u.: 0.00
# Formation energy from the elements in eV per atom: -0.575
# Space-group type: No. 194
# Fermi-level density of states in states/eV per atom: 0.345


[5]
# GGA-PBE Pm3PrGa4, optimized geometry
data_Pm3PrGa4
_chemical_formula_sum 'Pm3 Pr1 Ga4'
_space_group_name_H-M_alt 'P 1'
_space_group_IT_number 1
_cell_length_a 9.4109
_cell_length_b 9.4109
_cell_length_c 9.4109
_cell_angle_alpha 157.48
_cell_angle_beta 136.66
_cell_angle_gamma 49.38
loop_
_space_group_symop_operation_xyz
'x,y,z'
loop_
_atom_site_label
_atom_site_type_symbol
_atom_site_fract_x
_atom_site_fract_y
_atom_site_fract_z
_atom_site_occupancy
Pm1 Pm 0.0000 0.0000 0.0000 1
Pm2 Pm 0.2979 0.7979 0.5000 1
Pm3 Pm 0.7021 0.2021 0.5000 1
Pr1 Pr 0.5000 0.5000 0.0000 1
Ga1 Ga 0.0574 0.3691 0.6883 1
Ga2 Ga 0.3191 0.6309 0.6883 1
Ga3 Ga 0.6809 0.3691 0.3117 1
Ga4 Ga 0.9426 0.6309 0.3117 1
# Calculated total energy in eV for the cell shown: -34.60
# Total moment in μB/f.u.: 0.00
# Formation energy from the elements in eV per atom: -0.433
# Space-group type: No. 71
# Fermi-level density of states in states/eV per atom: 0.781


[6]
# GGA-PBE PmPr2Ga4, optimized geometry
data_PmPr2Ga4
_chemical_formula_sum 'Pm1 Pr2 Ga4'
_space_group_name_H-M_alt 'P 1'
_space_group_IT_number 1
_cell_length_a 9.9479
_cell_length_b 9.9479
_cell_length_c 9.9479
_cell_angle_alpha 155.46
_cell_angle_beta 154.47
_cell_angle_gamma 35.71
loop_
_space_group_symop_operation_xyz
'x,y,z'
loop_
_atom_site_label
_atom_site_type_symbol
_atom_site_fract_x
_atom_site_fract_y
_atom_site_fract_z
_atom_site_occupancy
Pm1 Pm 0.0000 0.0000 0.0000 1
Pr1 Pr 0.1839 0.6839 0.5000 1
Pr2 Pr 0.8161 0.3161 0.5000 1
Ga1 Ga 0.3598 0.8598 0.5000 1
Ga2 Ga 0.4350 0.4350 0.0000 1
Ga3 Ga 0.5650 0.5650 0.0000 1
Ga4 Ga 0.6402 0.1402 0.5000 1
# Calculated total energy in eV for the cell shown: -30.80
# Total moment in μB/f.u.: 0.00
# Formation energy from the elements in eV per atom: -0.627
# Space-group type: No. 71
# Fermi-level density of states in states/eV per atom: 0.768


[7]
# GGA-PBE PmPr3Ga, optimized geometry
data_PmPr3Ga
_chemical_formula_sum 'Pm2 Pr6 Ga2'
_space_group_name_H-M_alt 'P 1'
_space_group_IT_number 1
_cell_length_a 7.6800
_cell_length_b 7.6800
_cell_length_c 7.9362
_cell_angle_alpha 121.10
_cell_angle_beta 121.10
_cell_angle_gamma 74.77
loop_
_space_group_symop_operation_xyz
'x,y,z'
loop_
_atom_site_label
_atom_site_type_symbol
_atom_site_fract_x
_atom_site_fract_y
_atom_site_fract_z
_atom_site_occupancy
Pm1 Pm 0.0606 0.0606 0.3530 1
Pm2 Pm 0.9394 0.9394 0.6470 1
Pr1 Pr 0.0528 0.4318 0.2075 1
Pr2 Pr 0.4318 0.0528 0.2075 1
Pr3 Pr 0.4402 0.4402 0.7213 1
Pr4 Pr 0.5598 0.5598 0.2787 1
Pr5 Pr 0.5682 0.9472 0.7925 1
Pr6 Pr 0.9472 0.5682 0.7925 1
Ga1 Ga 0.2489 0.2489 0.8727 1
Ga2 Ga 0.7511 0.7511 0.1273 1
# Calculated total energy in eV for the cell shown: -44.94
# Total moment in μB/f.u.: 0.00
# Formation energy from the elements in eV per atom: -0.071
# Space-group type: No. 12
# Fermi-level density of states in states/eV per atom: 1.448


[8]
# GGA-PBE Pm2PrGa6, optimized geometry
data_Pm2PrGa6
_chemical_formula_sum 'Pm2 Pr1 Ga6'
_space_group_name_H-M_alt 'P 1'
_space_group_IT_number 1
_cell_length_a 7.9410
_cell_length_b 7.9410
_cell_length_c 7.9410
_cell_angle_alpha 147.60
_cell_angle_beta 125.74
_cell_angle_gamma 64.62
loop_
_space_group_symop_operation_xyz
'x,y,z'
loop_
_atom_site_label
_atom_site_type_symbol
_atom_site_fract_x
_atom_site_fract_y
_atom_site_fract_z
_atom_site_occupancy
Pm1 Pm 0.1301 0.1301 0.0000 1
Pm2 Pm 0.8699 0.8699 0.0000 1
Pr1 Pr 0.5000 0.0000 0.5000 1
Ga1 Ga 0.1304 0.3211 0.8093 1
Ga2 Ga 0.1822 0.5000 0.6822 1
Ga3 Ga 0.4882 0.6789 0.8093 1
Ga4 Ga 0.5118 0.3211 0.1907 1
Ga5 Ga 0.8178 0.5000 0.3178 1
Ga6 Ga 0.8696 0.6789 0.1907 1
# Calculated total energy in eV for the cell shown: -36.64
# Total moment in μB/f.u.: 0.00
# Formation energy from the elements in eV per atom: -0.467
# Space-group type: No. 71
# Fermi-level density of states in states/eV per atom: 0.514